DFT (PBE-GGA) results for a relaxed Tl6ZnSe4 crystal.

Summary:
The raw formation energy is -0.398 eV/atom.

a = 10.4687 Å, b = 10.4687 Å, c = 7.4445 Å
α = 90.00°, β = 90.00°, γ = 120.00°
Space group P6_3mc (No. 186)
Inequivalent atoms, fractional coordinates:
Tl 0.0614 0.5307 0.0000 (multiplicity 6)
Tl 0.1532 0.3064 0.3178 (multiplicity 6)
Zn 0.3333 0.6667 0.6257 (multiplicity 2)
Se 0.1996 0.3992 0.7225 (multiplicity 6)
Se 0.3333 0.6667 0.2789 (multiplicity 2)